[1]
Density functional theory data (PBE-GGA) for a geometry-optimized BeZn2Au structure.

a b c (Å): 8.4629 8.4629 8.4629
angles (deg): 19.28 19.28 19.28
Closest atoms and distances in Å follow each position.
Fractional coordinates of all 4 atoms:
Be 0.0000 0.0000 0.0000  6 Zn 2.44
Zn 0.2605 0.2605 0.2605  3 Be 2.44
Zn 0.7395 0.7395 0.7395  3 Be 2.44
Au 0.5000 0.5000 0.5000  6 Au 2.84, 6 Zn 2.85



[2]
Density functional theory data (PBE-GGA) for a geometry-optimized Be2ZnAu structure.

a b c (Å): 2.7093 3.8841 4.8091
angles (deg): 90.00 102.54 90.00
Closest atoms and distances in Å follow each position.
Fractional coordinates of all 4 atoms:
Be 0.0000 0.0000 0.0000  2 Be 2.30, 2 Zn 2.45-2.48, 4 Au 2.53
Be 0.1046 0.5000 0.2607  2 Be 2.30, 2 Au 2.50-2.51, 4 Zn 2.50-2.52
Zn 0.6799 0.0000 0.4395  7 Be 2.45-2.65, 2 Zn 2.71
Au 0.4286 0.5000 0.8124  7 Be 2.50-2.61, 2 Au 2.71



[3]
Density functional theory data (PBE-GGA) for a geometry-optimized Be2ZnAu2 structure.

a b c (Å): 3.2475 3.2475 6.7051
angles (deg): 90.00 90.00 90.00
Closest atoms and distances in Å follow each position.
Fractional coordinates of all 5 atoms:
Be 0.0000 0.5000 0.0000  4 Be 2.30, 4 Au 2.45
Be 0.5000 0.0000 0.0000  4 Be 2.30, 4 Au 2.45
Zn 0.0000 0.0000 0.5000  8 Au 2.75
Au 0.5000 0.5000 0.2733  4 Be 2.45
Au 0.5000 0.5000 0.7267  4 Be 2.45



Number 1: raw total energy -0.0831 hartree per atom, total moment 0.0 μB per formula unit, DFT formation energy 0.126 eV per atom. Number 2: raw total energy -0.1090 hartree per atom, total moment 0.0 μB per formula unit, DFT formation energy 0.035 eV per atom. Number 3: raw total energy -0.1126 hartree per atom, total moment 0.0 μB per formula unit, DFT formation energy -0.008 eV per atom.